{
  "formula": "MgGa2Ru",
  "functional": "PBE",
  "state": "optimized geometry",
  "formation_enthalpy_0k_ev_per_atom": -0.233,
  "space_group": "No. 123",
  "dft_energy_ha_per_atom": -0.1641,
  "total_magnetization_mub_per_fu": 0.0,
  "lattice": [[3.283, 0.000, 0.000], [0.000, 3.283, 0.000], [0.000, 0.000, 5.804]],
  "species": ["Mg", "Ga", "Ga", "Ru"],
  "fractional_positions": [[0.000, 0.000, 0.000], [0.500, 0.500, 0.271], [0.500, 0.500, 0.729], [0.000, 0.000, 0.500]]
}



{
  "formula": "Mg2GaRu2",
  "functional": "PBE",
  "state": "optimized geometry",
  "formation_enthalpy_0k_ev_per_atom": -0.154,
  "space_group": "No. 127",
  "dft_energy_ha_per_atom": -0.1877,
  "total_magnetization_mub_per_fu": 0.4,
  "lattice": [[6.353, 0.000, 0.000], [0.000, 6.353, 0.000], [0.000, 0.000, 4.229]],
  "species": ["Mg", "Mg", "Mg", "Mg", "Ga", "Ga", "Ru", "Ru", "Ru", "Ru"],
  "fractional_positions": [[0.167, 0.333, 0.000], [0.333, 0.833, 0.000], [0.667, 0.167, 0.000], [0.833, 0.667, 0.000], [0.000, 0.000, 0.500], [0.500, 0.500, 0.500], [0.136, 0.636, 0.500], [0.364, 0.136, 0.500], [0.636, 0.864, 0.500], [0.864, 0.364, 0.500]]
}